Here is crystalline Na2N2F at its relaxed geometry from the Alexandria database. Energies are from PBE.

Cell and atoms, written as CIF:
```
data_Na2N2F
_symmetry_space_group_name_H-M 'P 1'
_symmetry_Int_Tables_number 1
_symmetry_space_group_name_Hall 'P 1'
_cell_length_a 7.1035
_cell_length_b 7.1035
_cell_length_c 7.1035
_cell_angle_alpha 157.71
_cell_angle_beta 157.71
_cell_angle_gamma 31.73
loop_
_atom_site_label
_atom_site_type_symbol
_atom_site_fract_x
_atom_site_fract_y
_atom_site_fract_z
_atom_site_occupancy
Na1 Na 0.1017 0.1017 0.0000 1
Na2 Na 0.8983 0.8983 0.0000 1
N1 N 0.2500 0.7500 0.5000 1
N2 N 0.7500 0.2500 0.5000 1
F1 F 0.5000 0.5000 0.0000 1
```

Summary:
* uncorrected formation energy: -0.0291 eV/atom
* E: -4.261 eV per atom
* excess energy over the best structure of this formula in the dataset: 1102 meV per atom

***

Here is crystalline NaNF2 at its relaxed geometry from the Alexandria database. Energies are from PBE.

Cell and atoms, written as CIF:
```
data_NaNF2
_symmetry_space_group_name_H-M 'P 1'
_symmetry_Int_Tables_number 1
_symmetry_space_group_name_Hall 'P 1'
_cell_length_a 4.6753
_cell_length_b 4.6753
_cell_length_c 4.6753
_cell_angle_alpha 128.05
_cell_angle_beta 108.07
_cell_angle_gamma 94.21
loop_
_atom_site_label
_atom_site_type_symbol
_atom_site_fract_x
_atom_site_fract_y
_atom_site_fract_z
_atom_site_occupancy
Na1 Na 0.0000 0.0000 0.0000 1
N1 N 0.5000 0.5000 0.0000 1
F1 F 0.1581 0.6581 0.5000 1
F2 F 0.8419 0.3419 0.5000 1
```

Summary:
* uncorrected formation energy: 0.0496 eV/atom
* E: -3.297 eV per atom
* excess energy over the best structure of this formula in the dataset: 601 meV per atom

***

Here is crystalline NaNF2 at its relaxed geometry from the Alexandria database. Energies are from PBE.

Cell and atoms, written as CIF:
```
data_NaNF2
_symmetry_space_group_name_H-M 'P 1'
_symmetry_Int_Tables_number 1
_symmetry_space_group_name_Hall 'P 1'
_cell_length_a 6.8825
_cell_length_b 6.8825
_cell_length_c 6.8825
_cell_angle_alpha 143.85
_cell_angle_beta 143.85
_cell_angle_gamma 52.05
loop_
_atom_site_label
_atom_site_type_symbol
_atom_site_fract_x
_atom_site_fract_y
_atom_site_fract_z
_atom_site_occupancy
Na1 Na 0.0000 0.0000 0.0000 1
Na2 Na 0.7500 0.2500 0.5000 1
N1 N 0.2500 0.7500 0.5000 1
N2 N 0.5000 0.5000 0.0000 1
F1 F 0.1730 0.6250 0.0480 1
F2 F 0.3750 0.4230 0.5480 1
F3 F 0.5770 0.1250 0.9520 1
F4 F 0.8750 0.8270 0.4520 1
```

Summary:
* uncorrected formation energy: -0.2141 eV/atom
* E: -3.561 eV per atom
* excess energy over the best structure of this formula in the dataset: 337 meV per atom